Record 1
The following is a PBE calculation of a relaxed HoScTl2 crystal, from the Alexandria database.

Geometry as POSCAR:
```
HoScTl2
1.0
1.814 1.047 9.450
-1.814 1.047 9.450
0.000 -2.095 9.450
Ho Sc Tl
1 1 2
Direct
0.000 0.000 0.000
0.500 0.500 0.500
0.247 0.247 0.247
0.753 0.753 0.753
```

Calculated values
- DFT formation energy: -0.212 eV per atom
- Spin magnetization: 0.00 Bohr magnetons per cell

Record 2
The following is a PBE calculation of a relaxed IrSCl2 crystal, from the Alexandria database.

Geometry as POSCAR:
```
IrSCl2
1.0
1.427 0.824 12.251
-1.427 0.824 12.251
0.000 -1.647 12.251
Ir S Cl
1 1 2
Direct
0.000 0.000 0.000
0.500 0.500 0.500
0.061 0.061 0.061
0.939 0.939 0.939
```

Calculated values
- Formation energy from raw total energies: 0.4426 eV/atom
- Spin magnetization: 0.24 Bohr magnetons per cell
- E above lowest polymorph: 245.3 meV per atom

Record 3
The following is a PBE calculation of a relaxed Co2ReMo crystal, from the Alexandria database.

Geometry as POSCAR:
```
Co2ReMo
1.0
4.553 -2.629 0.000
4.553 2.629 0.000
-1.515 0.000 4.293
Co Re Mo
4 2 2
Direct
0.122 0.629 0.750
0.371 0.878 0.250
0.629 0.122 0.750
0.878 0.371 0.250
0.124 0.124 0.745
0.876 0.876 0.255
0.373 0.373 0.243
0.627 0.627 0.757
```

Calculated values
- DFT formation energy: 0.024 eV per atom
- Spin magnetization: 0.33 Bohr magnetons per cell
- E above lowest polymorph: 65.9 meV per atom

Record 4
The following is a PBE calculation of a relaxed RbCa2TaSb crystal, from the Alexandria database.

Geometry as POSCAR:
```
RbCa2TaSb
1.0
5.922 0.000 0.000
0.000 5.922 0.000
0.000 0.000 6.646
Rb Ca Ta Sb
1 2 1 1
Direct
0.000 0.000 0.000
0.000 0.500 0.500
0.500 0.000 0.500
0.500 0.500 0.000
0.000 0.000 0.500
```

Calculated values
- Formation energy from raw total energies: 0.9348 eV/atom
- Spin magnetization: 4.92 Bohr magnetons per cell

Record order is preserved below.
Fermi-level density of states: 2.6, 3.6, 7.2, 3.9 states/eV/cell
Record order is preserved below.
Raw total energy: -4.1222, -3.7278, -9.3488, -3.2543 eV per atom